## AsPb2Cl2O3 (PBE-GGA)

Data for crystalline AsPb2Cl2O3 at its relaxed geometry.

Unit cell a=7.1593 b=5.7763 c=8.8796 alpha=90.00 beta=98.90 gamma=90.00
Space group P2_1/m (No. 11)
One atom of each set of equivalent atoms:
As1 0.2370 0.2500 0.2529 (multiplicity 2)
Pb1 0.0732 0.2500 0.6508 (multiplicity 2)
Pb2 0.1976 0.7500 0.9735 (multiplicity 2)
Cl1 0.2290 0.7500 0.6316 (multiplicity 2)
Cl2 0.3663 0.2500 0.9056 (multiplicity 2)
O1 0.0904 0.0113 0.1761 (multiplicity 4)
O2 0.2447 0.2500 0.4470 (multiplicity 2)

## Properties
Raw total energy   -4.925 eV/atom
Density of states at the Fermi level   0.162 states/eV per atom
Formation energy (no corrections)   -1.10 eV/atom


## Pm2ScH8 (PBE-GGA)

Data for crystalline Pm2ScH8 at its relaxed geometry.

Unit cell a=3.7353 b=4.9917 c=11.1630 alpha=90.00 beta=90.00 gamma=90.00
Space group Immm (No. 71)
One atom of each set of equivalent atoms:
Pm1 0.0000 0.0000 0.1682 (multiplicity 4)
Sc1 0.0000 0.0000 0.5000 (multiplicity 2)
H1 0.0000 0.2480 0.3551 (multiplicity 8)
H2 0.0000 0.2657 0.0000 (multiplicity 4)
H3 0.0000 0.5000 0.1839 (multiplicity 4)

## Properties
Raw total energy   -4.435 eV/atom
Density of states at the Fermi level   0.142 states/eV per atom


## K2NaSrF (PBE-GGA)

Data for crystalline K2NaSrF at its relaxed geometry.

Unit cell a=6.7671 b=6.7671 c=4.7987 alpha=90.00 beta=90.00 gamma=90.00
Space group P4/mmm (No. 123)
One atom of each set of equivalent atoms:
K1 0.0000 0.5000 0.0000 (multiplicity 2)
Na1 0.0000 0.0000 0.5000 (multiplicity 1)
Sr1 0.5000 0.5000 0.5000 (multiplicity 1)
F1 0.5000 0.5000 0.0000 (multiplicity 1)

## Properties
Raw total energy   -2.445 eV/atom
Density of states at the Fermi level   0.637 states/eV per atom
Formation energy (no corrections)   -1.03 eV/atom


## TbErC (PBE-GGA)

Data for crystalline TbErC at its relaxed geometry.

Unit cell a=6.2063 b=3.5859 c=6.4656 alpha=90.00 beta=108.53 gamma=90.00
Space group P2_1/m (No. 11)
One atom of each set of equivalent atoms:
Tb1 0.0101 0.2500 0.2785 (multiplicity 2)
Er1 0.4886 0.2500 0.7170 (multiplicity 2)
C1 0.2531 0.7500 0.5012 (multiplicity 2)

## Properties
Energy relative to the elements   -289 meV/atom
Raw total energy   -6.428 eV/atom
Density of states at the Fermi level   0.716 states/eV per atom
Energy above the lowest structure with this stoichiometry   0 meV per atom


## InTe2HAu (PBE-GGA)

Data for crystalline InTe2HAu at its relaxed geometry.

Unit cell a=5.7609 b=5.7609 c=3.5041 alpha=90.00 beta=90.00 gamma=90.00
Space group P4/mmm (No. 123)
One atom of each set of equivalent atoms:
In1 0.0000 0.0000 0.0000 (multiplicity 1)
Te1 0.0000 0.5000 0.5000 (multiplicity 2)
H1 0.5000 0.5000 0.0000 (multiplicity 1)
Au1 0.5000 0.5000 0.5000 (multiplicity 1)

## Properties
Raw total energy   -3.090 eV/atom
Density of states at the Fermi level   0.668 states/eV per atom


## BaFeRe2 (PBE-GGA)

Data for crystalline BaFeRe2 at its relaxed geometry.

Unit cell a=3.8129 b=3.8129 c=10.7589 alpha=90.00 beta=90.00 gamma=90.00
Space group I4/mmm (No. 139)
One atom of each set of equivalent atoms:
Ba1 0.0000 0.0000 0.0000 (multiplicity 2)
Fe1 0.0000 0.0000 0.5000 (multiplicity 2)
Re1 0.0000 0.5000 0.2500 (multiplicity 4)

## Properties
Energy relative to the elements   1582 meV/atom
Raw total energy   -7.238 eV/atom
Density of states at the Fermi level   1.173 states/eV per atom
Energy above the lowest structure with this stoichiometry   1038 meV per atom